Compound: LiPuHf2As4
Source: Alexandria
Functional: GGA-PBE
Structure: relaxed

Cell: 6.643 3.886 7.006 Å, 90.00 108.22 90.00°
Space group P2/m (No. 10)
Symmetry-distinct sites (fractional):
Li  0.000  0.000  0.000 [1 per cell]
Pu  0.500  0.500  0.000 [1 per cell]
Hf  0.000  0.500  0.500 [1 per cell]
Hf  0.500  0.000  0.500 [1 per cell]
As  0.239  0.000  0.736 [2 per cell]
As  0.251  0.500  0.263 [2 per cell]

- total magnetic moment (μB/f.u.) = 4.957
- E (eV/cell) = -62.08
- crystal system = monoclinic

Compound: LiHfSc2As4
Source: Alexandria
Functional: GGA-PBE
Structure: relaxed

Cell: 6.667 3.826 6.747 Å, 90.00 108.94 90.00°
Space group P2/m (No. 10)
Symmetry-distinct sites (fractional):
Li  0.000  0.000  0.000 [1 per cell]
Hf  0.000  0.500  0.500 [1 per cell]
Sc  0.500  0.000  0.500 [1 per cell]
Sc  0.500  0.500  0.000 [1 per cell]
As  0.246  0.000  0.749 [2 per cell]
As  0.250  0.500  0.254 [2 per cell]

- total magnetic moment (μB/f.u.) = 0.000
- E (eV/cell) = -51.09
- crystal system = monoclinic

Compound: LiHfAs2Se
Source: Alexandria
Functional: GGA-PBE
Structure: relaxed

Cell: 5.174 5.174 5.205 Å, 90.00 90.00 90.00°
Space group P4/mmm (No. 123)
Symmetry-distinct sites (fractional):
Li  0.000  0.000  0.000 [1 per cell]
Hf  0.500  0.500  0.500 [1 per cell]
As  0.000  0.500  0.500 [2 per cell]
Se  0.500  0.500  0.000 [1 per cell]

- uncorrected formation energy (kcal/mol of atoms) = -5.643
- total magnetic moment (μB/f.u.) = 0.000
- excess energy over the best structure of this formula in the dataset (meV per atom) = 0.0
- crystal system = tetragonal